An optimized crystal structure of Li4Mn3OF11. Source: the Alexandria database, functional GGA+U.

Cell: 6.050 6.335 6.699 Å, 106.89 101.63 103.70°
Last column: magnetic moment on the atom in μB.
Element x y z (fractional)
F  0.010  0.682  0.866  0.00
F  0.329  0.870  0.607  -0.01
Li  0.849  0.346  0.730  0.00
F  0.972  0.291  0.100  -0.01
O  0.046  0.991  0.321  -0.07
F  0.953  0.061  0.700  0.09
F  0.658  0.153  0.412  0.00
Mn  0.736  0.865  0.339  3.93
Li  0.644  0.289  0.131  0.00
Li  0.157  0.582  0.352  0.00
Mn  0.999  0.987  0.002  3.79
F  0.815  0.593  0.343  -0.01
F  0.413  0.680  0.230  0.01
F  0.673  0.865  0.984  0.01
F  0.236  0.438  0.595  -0.01
F  0.322  0.090  0.036  0.00
F  0.568  0.320  0.826  0.01
Mn  0.284  0.150  0.587  3.94
Li  0.336  0.744  0.838  0.00

Computed properties:
The magnetic moment comes out at 12.0 μB/cell. The energy above the most stable polymorph in this dataset comes out at 8.5 meV per atom.